1.
Sc5TlHg6 | PBE | relaxed

Its formation energy is -4.03 eV per formula unit. Its calculated volume is 22.36 Å³/atom. The magnetization is 0.000 μB per cell.

The space group is Immm (No. 71) and the conventional cell measures 4.929, 7.309 and 14.899 Å, with angles of 90.00, 90.00 and 90.00 degrees. Symmetry generates all atoms from Sc at (0.000, 0.000, 0.000), Sc at (0.000, 0.000, 0.348), Sc at (0.000, 0.500, 0.327), Tl at (0.000, 0.500, 0.000), Hg at (0.000, 0.235, 0.176) and Hg at (0.000, 0.275, 0.500).

=====

2.
ScTlHg | PBE | relaxed

Its formation energy is -0.62 eV per formula unit. Its calculated volume is 23.47 Å³/atom. The magnetization is 0.000 μB per cell.

The space group is Amm2 (No. 38) and the conventional cell measures 4.334, 4.606 and 14.105 Å, with angles of 90.00, 90.00 and 90.00 degrees. Symmetry generates all atoms from Sc at (0.000, 0.000, 0.000), Sc at (0.000, 0.000, 0.317), Tl at (0.000, 0.000, 0.653), Tl at (0.500, 0.000, 0.835), Hg at (0.500, 0.000, 0.156) and Hg at (0.500, 0.000, 0.480).

=====

3.
ScTlHg | PBE | relaxed

Its formation energy is -0.63 eV per formula unit. Its calculated volume is 24.61 Å³/atom. The magnetization is 0.301 μB per cell.

The space group is Pm (No. 6) and the conventional cell measures 3.418, 3.414 and 12.654 Å, with angles of 90.00, 90.17 and 90.00 degrees. Symmetry generates all atoms from Sc at (0.000, 0.000, 0.000), Sc at (0.003, 0.000, 0.298), Tl at (0.005, 0.000, 0.630), Tl at (0.499, 0.500, 0.839), Hg at (0.502, 0.500, 0.147) and Hg at (0.506, 0.500, 0.439).

=====

4.
ScTlHg | PBE | relaxed

Its formation energy is 0.03 eV per formula unit. Its calculated volume is 26.91 Å³/atom. The magnetization is 0.000 μB per cell.

The space group is F-43m (No. 216) and the conventional cell measures 6.861, 6.861 and 6.861 Å, with angles of 90.00, 90.00 and 90.00 degrees. Symmetry generates all atoms from Sc at (0.000, 0.000, 0.000), Tl at (0.250, 0.250, 0.250) and Hg at (0.250, 0.250, 0.750).

=====

5.
Sc6TlHg8 | PBE | relaxed

Its formation energy is -3.51 eV per formula unit. Its calculated volume is 24.45 Å³/atom. The magnetization is 0.000 μB per cell.

The space group is R-3 (No. 148, hexagonal axes) and the conventional cell measures 8.3654, 8.3654 and 18.1572 Å, with angles of 90.00, 90.00 and 120.00 degrees. Symmetry generates all atoms from Sc at (0.0066, 0.7029, 0.1095), Tl at (0.0000, 0.0000, 0.5000), Hg at (0.0000, 0.0000, 0.1922) and Hg at (0.0048, 0.6462, 0.9491).

=====

6.
ScTlHg | PBE | relaxed

Its formation energy is -0.50 eV per formula unit. Its calculated volume is 23.80 Å³/atom. The magnetization is 0.849 μB per cell.

The space group is I4mm (No. 107) and the conventional cell measures 3.425, 3.425 and 12.175 Å, with angles of 90.00, 90.00 and 90.00 degrees. Symmetry generates all atoms from Sc at (0.000, 0.000, 0.000), Tl at (0.000, 0.000, 0.329) and Hg at (0.000, 0.000, 0.648).